<a>
DFT (PBE) results for an optimized crystal structure of InBiTe2I.

Cell lengths 5.9546, 5.9546, 6.2363 Å; angles 90.00, 90.00, 90.00 degrees
Closest atoms and distances in Å follow each position.
Element x y z (fractional)
Te 0.5000 0.0000 0.0000  2 Bi 2.98
Te 0.0000 0.5000 0.0000  2 Bi 2.98
In 0.5000 0.5000 0.5000  4 I 4.21, 8 Te 4.31
I 0.0000 0.0000 0.5000  2 Bi 3.12
Bi 0.0000 0.0000 0.0000  4 Te 2.98, 2 I 3.12

=====

<b>
DFT (PBE) results for an optimized crystal structure of InBiTe2I.

Cell lengths 5.7368, 5.7368, 5.6534 Å; angles 90.00, 90.00, 90.00 degrees
Closest atoms and distances in Å follow each position.
Element x y z (fractional)
Te 0.5000 0.0000 0.0000  2 In 2.87
Te 0.0000 0.5000 0.0000  2 In 2.87
Bi 0.5000 0.5000 0.5000  8 Te 4.03, 4 I 4.06
I 0.0000 0.0000 0.5000  2 In 2.83
In 0.0000 0.0000 0.0000  2 I 2.83, 4 Te 2.87

=====

In order of decreasing stability: <a>, <b>.

=====

<a>
DFT (PBE) results for an optimized crystal structure of BiIr2I.

Cell lengths 4.8588, 4.8588, 4.8588 Å; angles 60.00, 60.00, 60.00 degrees
Closest atoms and distances in Å follow each position.
Element x y z (fractional)
Ir 0.7500 0.7500 0.7500  4 Bi 2.98, 4 I 2.98
Ir 0.2500 0.2500 0.2500  4 Bi 2.98, 4 I 2.98
Bi 0.5000 0.5000 0.5000  8 Ir 2.98
I 0.0000 0.0000 0.0000  8 Ir 2.98

=====

<b>
DFT (PBE) results for an optimized crystal structure of BiIr2I.

Cell lengths 5.4702, 5.4702, 8.0937 Å; angles 70.25, 70.25, 90.00 degrees
Closest atoms and distances in Å follow each position.
Element x y z (fractional)
I 0.5000 0.5000 0.0000  4 Ir 2.54
I 0.2500 0.7500 0.5000  4 Ir 2.54
Ir 0.3750 0.4079 0.7500  2 I 2.54, 2 Bi 2.72
Ir 0.8750 0.8421 0.7500  2 I 2.54, 2 Bi 2.72
Ir 0.5921 0.1250 0.2500  2 I 2.54, 2 Bi 2.72
Ir 0.1579 0.6250 0.2500  2 I 2.54, 2 Bi 2.72
Bi 0.7500 0.2500 0.5000  4 Ir 2.72
Bi 0.0000 0.0000 0.0000  4 Ir 2.72

=====

In order of decreasing stability: <b>, <a>.

=====

<a>
DFT (PBE) results for an optimized crystal structure of BiIr3I.

Cell lengths 5.0638, 5.0638, 5.0638 Å; angles 90.00, 90.00, 90.00 degrees
Closest atoms and distances in Å follow each position.
Element x y z (fractional)
Ir 0.0000 0.5000 0.0000  2 Bi 2.53
Ir 0.0000 0.0000 0.5000  2 Bi 2.53
Ir 0.5000 0.0000 0.0000  2 Bi 2.53
I 0.5000 0.5000 0.5000  12 Ir 3.58
Bi 0.0000 0.0000 0.0000  6 Ir 2.53

=====

<b>
DFT (PBE) results for an optimized crystal structure of BiIr3I.

Cell lengths 4.9048, 4.9048, 4.9048 Å; angles 90.00, 90.00, 90.00 degrees
Closest atoms and distances in Å follow each position.
Element x y z (fractional)
I 0.0000 0.0000 0.0000  6 Ir 2.45
Bi 0.5000 0.5000 0.5000  12 Ir 3.47
Ir 0.5000 0.0000 0.0000  2 I 2.45
Ir 0.0000 0.0000 0.5000  2 I 2.45
Ir 0.0000 0.5000 0.0000  2 I 2.45

=====

In order of decreasing stability: <b>, <a>.

=====

<a>
DFT (PBE) results for an optimized crystal structure of Bi2IrI.

Cell lengths 4.0620, 4.0620, 8.5656 Å; angles 76.28, 76.28, 60.00 degrees
Closest atoms and distances in Å follow each position.
Element x y z (fractional)
I 0.5000 0.5000 0.5000  6 Bi 3.52
Ir 0.0000 0.0000 0.0000  6 Bi 2.78
Bi 0.7271 0.7271 0.8186  3 Ir 2.78
Bi 0.2729 0.2729 0.1814  3 Ir 2.78

=====

<b>
DFT (PBE) results for an optimized crystal structure of Bi2IrI.

Cell lengths 7.1232, 7.1232, 7.9509 Å; angles 63.39, 63.39, 90.00 degrees
Closest atoms and distances in Å follow each position.
Element x y z (fractional)
Bi 0.3750 0.2818 0.7500  2 Ir 2.60
Bi 0.8750 0.9682 0.7500  2 Ir 2.60
Bi 0.7182 0.1250 0.2500  2 Ir 2.60
Bi 0.0318 0.6250 0.2500  2 Ir 2.60
Ir 0.0000 0.0000 0.0000  4 Bi 2.60
Ir 0.7500 0.2500 0.5000  4 Bi 2.60
I 0.2500 0.7500 0.5000  4 Bi 3.39
I 0.5000 0.5000 0.0000  4 Bi 3.39

=====

<c>
DFT (PBE) results for an optimized crystal structure of Bi2IrI.

Cell lengths 5.2419, 5.2419, 5.2419 Å; angles 60.00, 60.00, 60.00 degrees
Closest atoms and distances in Å follow each position.
Element x y z (fractional)
I 0.0000 0.0000 0.0000  8 Bi 3.21
Bi 0.2500 0.2500 0.2500  4 Ir 3.21, 4 I 3.21
Bi 0.7500 0.7500 0.7500  4 Ir 3.21, 4 I 3.21
Ir 0.5000 0.5000 0.5000  8 Bi 3.21

=====

In order of decreasing stability: <a>, <b>, <c>.

=====

<a>
DFT (PBE) results for an optimized crystal structure of BiIrIN2.

Cell lengths 3.9925, 3.9925, 7.7033 Å; angles 90.00, 90.00, 90.00 degrees
Closest atoms and distances in Å follow each position.
Element x y z (fractional)
I 0.0000 0.0000 0.5000  4 Bi 2.82
N 0.0000 0.5000 0.0000  2 Ir 2.00
N 0.5000 0.0000 0.0000  2 Ir 2.00
Ir 0.0000 0.0000 0.0000  4 N 2.00
Bi 0.5000 0.5000 0.5000  4 I 2.82

=====

<b>
DFT (PBE) results for an optimized crystal structure of BiIrIN2.

Cell lengths 4.1720, 4.1720, 7.2371 Å; angles 90.00, 90.00, 90.00 degrees
Closest atoms and distances in Å follow each position.
Element x y z (fractional)
N 0.0000 0.5000 0.0000  2 Bi 2.09
N 0.5000 0.0000 0.0000  2 Bi 2.09
I 0.0000 0.0000 0.5000  4 Ir 2.95
Bi 0.0000 0.0000 0.0000  4 N 2.09
Ir 0.5000 0.5000 0.5000  4 I 2.95

=====

In order of decreasing stability: <a>, <b>.

=====

<a>
DFT (PBE) results for an optimized crystal structure of BiIrI2O.

Cell lengths 6.1357, 6.1357, 4.2187 Å; angles 90.00, 90.00, 90.00 degrees
Closest atoms and distances in Å follow each position.
Element x y z (fractional)
Bi 0.0000 0.0000 0.0000  2 O 2.11
Ir 0.5000 0.5000 0.5000  8 I 3.72
I 0.5000 0.0000 0.0000  2 Bi 3.07
I 0.0000 0.5000 0.0000  2 Bi 3.07
O 0.0000 0.0000 0.5000  2 Bi 2.11

=====

<b>
DFT (PBE) results for an optimized crystal structure of BiIrI2O.

Cell lengths 5.8005, 5.8005, 3.7581 Å; angles 90.00, 90.00, 90.00 degrees
Closest atoms and distances in Å follow each position.
Element x y z (fractional)
O 0.0000 0.0000 0.5000  2 Ir 1.88
I 0.0000 0.5000 0.0000  2 Ir 2.90
I 0.5000 0.0000 0.0000  2 Ir 2.90
Ir 0.0000 0.0000 0.0000  2 O 1.88
Bi 0.5000 0.5000 0.5000  8 I 3.46, 2 Bi 3.76

=====

In order of decreasing stability: <b>, <a>.